(1)
Material: TcPIr2
Method: DFT, PBE
State: optimized geometry

Results
- Total energy: -33.83 eV for the cell shown
- Energy of formation: -83 meV/atom

a = 2.834 Å, b = 4.004 Å, c = 5.158 Å
α = 90.00°, β = 105.34°, γ = 90.00°
Space group P2/m (No. 10)
Asymmetric unit:
1 Tc 0.000 0.000 0.000 [1 per cell]
2 P 0.000 0.000 0.500 [1 per cell]
3 Ir 0.361 0.500 0.739 [2 per cell]



(2)
Material: Tc2PIr
Method: DFT, PBE
State: optimized geometry

Results
- Total energy: -105.92 eV for the cell shown
- Energy of formation: -76 meV/atom

a = 2.7997 Å, b = 2.7997 Å, c = 24.7095 Å
α = 90.00°, β = 90.00°, γ = 120.00°
Space group R3m (No. 160, hexagonal axes)
Asymmetric unit:
1 Tc 0.0000 0.0000 0.0000 [3 per cell]
2 Tc 0.0000 0.0000 0.2451 [3 per cell]
3 P 0.0000 0.0000 0.7440 [3 per cell]
4 Ir 0.0000 0.0000 0.4870 [3 per cell]



(3)
Material: Tc2PIr
Method: DFT, PBE
State: optimized geometry

Results
- Total energy: -67.64 eV for the cell shown
- Energy of formation: 295 meV/atom

a = 2.889 Å, b = 4.741 Å, c = 8.405 Å
α = 90.00°, β = 90.00°, γ = 90.00°
Space group Cmm2 (No. 35)
Asymmetric unit:
1 Tc 0.000 0.000 0.000 [2 per cell]
2 Tc 0.000 0.500 0.268 [2 per cell]
3 P 0.000 0.500 0.775 [2 per cell]
4 Ir 0.000 0.000 0.547 [2 per cell]